A relaxed structure of La3RhF, computed with PBE-GGA.

## Properties
* uncorrected formation energy: -0.939 eV/atom
* symmetry: Pm-3m (221)
* E above lowest polymorph: 0 meV per atom

abc: 4.9926 4.9926 4.9926
angles: 90.00 90.00 90.00
Closest atoms and distances in Å follow each position.
Fractional coordinates of all 5 atoms:
La (0.0000, 0.0000, 0.5000)  2 F 2.50
La (0.0000, 0.5000, 0.0000)  2 F 2.50
La (0.5000, 0.0000, 0.0000)  2 F 2.50
Rh (0.5000, 0.5000, 0.5000)  12 La 3.53
F (0.0000, 0.0000, 0.0000)  6 La 2.50